A plane-wave DFT calculation with GGA-PBEsol was carried out for a relaxed Li3CuSbO5 crystal.

- Crystal system: triclinic

POSCAR file:
```
Li3CuSbO5
1.0
5.139 0.000 0.000
-1.318 5.262 0.000
-1.754 -2.415 7.139
Li Cu Sb O
6 2 2 10
Direct
0.000 0.000 0.000
0.068 0.245 0.738
0.199 0.416 0.447
0.279 0.595 0.126
0.373 0.819 0.831
0.558 0.223 0.247
0.489 0.010 0.538
0.786 0.616 0.634
0.666 0.414 0.930
0.889 0.818 0.335
0.003 0.620 0.873
0.126 0.796 0.572
0.243 0.006 0.303
0.333 0.235 0.985
0.448 0.464 0.703
0.569 0.597 0.392
0.649 0.784 0.081
0.713 0.072 0.797
0.832 0.155 0.462
0.923 0.457 0.185
```


A plane-wave DFT calculation with GGA-PBEsol was carried out for a relaxed AgAsBr2Cl crystal.

- Crystal system: tetragonal

POSCAR file:
```
AgAsBr2Cl
1.0
5.948 0.000 0.000
0.000 5.948 0.000
0.000 0.000 4.451
Ag As Br Cl
1 1 2 1
Direct
0.000 0.000 0.000
0.500 0.500 0.000
0.000 0.500 0.500
0.500 0.000 0.500
0.500 0.500 0.500
```


A plane-wave DFT calculation with GGA-PBEsol was carried out for a relaxed La3BiF crystal.

- Crystal system: cubic

POSCAR file:
```
La3BiF
1.0
6.117 0.000 0.000
0.000 6.117 0.000
0.000 0.000 6.117
La Bi F
3 1 1
Direct
0.000 0.000 0.500
0.000 0.500 0.000
0.500 0.000 0.000
0.000 0.000 0.000
0.500 0.500 0.500
```


The following ΔE_f (raw) values (in eV/atom) correspond, in order, to the records above: -1.62, 0.79, 0.01.
The following calculated total energy values (in Ry per atom) correspond, in order, to the records above: -0.42044, -0.15032, -0.32636.